# Tl2PbW PBE-GGA optimized geometry
data_Tl2PbW
_cell_length_a 4.3863
_cell_length_b 4.3863
_cell_length_c 5.1870
_cell_angle_alpha 90.00
_cell_angle_beta 90.00
_cell_angle_gamma 90.00
_space_group_name_H-M_alt 'P 1'
_space_group_IT_number 1
loop_
_space_group_symop_operation_xyz
'x,y,z'
loop_
_atom_site_label
_atom_site_type_symbol
_atom_site_fract_x
_atom_site_fract_y
_atom_site_fract_z
Tl1 Tl 0.0000 0.5000 0.0000
Tl2 Tl 0.5000 0.0000 0.0000
Pb1 Pb 0.0000 0.0000 0.5000
W1 W 0.5000 0.5000 0.5000
# formation energy from the elements	1.1166	eV/atom
# distance to the lowest polymorph of the same formula	444.4	meV/atom
# symmetry	P4/mmm, No. 123
# total magnetic moment	0.5575	μB/atom
# E	-16.93	eV/cell

# Tl2PbW PBE-GGA optimized geometry
data_Tl2PbW
_cell_length_a 3.0356
_cell_length_b 3.0356
_cell_length_c 10.8691
_cell_angle_alpha 90.00
_cell_angle_beta 90.00
_cell_angle_gamma 90.00
_space_group_name_H-M_alt 'P 1'
_space_group_IT_number 1
loop_
_space_group_symop_operation_xyz
'x,y,z'
loop_
_atom_site_label
_atom_site_type_symbol
_atom_site_fract_x
_atom_site_fract_y
_atom_site_fract_z
Tl1 Tl 0.0000 0.0000 0.2163
Tl2 Tl 0.0000 0.0000 0.7837
Pb1 Pb 0.5000 0.5000 0.5000
W1 W 0.5000 0.5000 0.0000
# formation energy from the elements	0.8334	eV/atom
# distance to the lowest polymorph of the same formula	161.3	meV/atom
# symmetry	P4/mmm, No. 123
# total magnetic moment	0.0000	μB/atom
# E	-18.06	eV/cell

# TlPbW2 PBE-GGA optimized geometry
data_TlPbW2
_cell_length_a 9.6586
_cell_length_b 9.6586
_cell_length_c 9.6586
_cell_angle_alpha 18.49
_cell_angle_beta 18.49
_cell_angle_gamma 18.49
_space_group_name_H-M_alt 'P 1'
_space_group_IT_number 1
loop_
_space_group_symop_operation_xyz
'x,y,z'
loop_
_atom_site_label
_atom_site_type_symbol
_atom_site_fract_x
_atom_site_fract_y
_atom_site_fract_z
Tl1 Tl 0.0000 0.0000 0.0000
Pb1 Pb 0.5000 0.5000 0.5000
W1 W 0.2501 0.2501 0.2501
W2 W 0.7499 0.7499 0.7499
# formation energy from the elements	1.2126	eV/atom
# distance to the lowest polymorph of the same formula	626.2	meV/atom
# symmetry	R-3m, No. 166
# total magnetic moment	0.0000	μB/atom
# E	-27.13	eV/cell

# TlPbW PBE-GGA optimized geometry
data_TlPbW
_cell_length_a 5.1124
_cell_length_b 5.1124
_cell_length_c 3.0288
_cell_angle_alpha 90.00
_cell_angle_beta 90.00
_cell_angle_gamma 120.00
_space_group_name_H-M_alt 'P 1'
_space_group_IT_number 1
loop_
_space_group_symop_operation_xyz
'x,y,z'
loop_
_atom_site_label
_atom_site_type_symbol
_atom_site_fract_x
_atom_site_fract_y
_atom_site_fract_z
Tl1 Tl 0.0000 0.0000 0.0000
Pb1 Pb 0.3333 0.6667 0.5000
W1 W 0.6667 0.3333 0.5000
# formation energy from the elements	1.1444	eV/atom
# distance to the lowest polymorph of the same formula	285.5	meV/atom
# symmetry	P-6m2, No. 187
# total magnetic moment	0.0000	μB/atom
# E	-15.59	eV/cell

# TlPbW2 PBE-GGA optimized geometry
data_TlPbW2
_cell_length_a 3.2604
_cell_length_b 3.2790
_cell_length_c 8.7154
_cell_angle_alpha 90.00
_cell_angle_beta 96.03
_cell_angle_gamma 90.00
_space_group_name_H-M_alt 'P 1'
_space_group_IT_number 1
loop_
_space_group_symop_operation_xyz
'x,y,z'
loop_
_atom_site_label
_atom_site_type_symbol
_atom_site_fract_x
_atom_site_fract_y
_atom_site_fract_z
Tl1 Tl 0.0000 0.0000 0.0000
Pb1 Pb 0.6653 0.5000 0.6437
W1 W 0.1159 0.0000 0.3933
W2 W 0.5418 0.5000 0.2484
# formation energy from the elements	0.5864	eV/atom
# distance to the lowest polymorph of the same formula	0.0	meV/atom
# symmetry	Pm, No. 6
# total magnetic moment	0.0000	μB/atom
# E	-29.64	eV/cell

# TlPbW PBE-GGA optimized geometry
data_TlPbW
_cell_length_a 3.1037
_cell_length_b 3.1037
_cell_length_c 8.8092
_cell_angle_alpha 90.00
_cell_angle_beta 90.00
_cell_angle_gamma 120.00
_space_group_name_H-M_alt 'P 1'
_space_group_IT_number 1
loop_
_space_group_symop_operation_xyz
'x,y,z'
loop_
_atom_site_label
_atom_site_type_symbol
_atom_site_fract_x
_atom_site_fract_y
_atom_site_fract_z
Tl1 Tl 0.0000 0.0000 0.0000
Pb1 Pb 0.3333 0.6667 0.5764
W1 W 0.6667 0.3333 0.2929
# formation energy from the elements	0.8619	eV/atom
# distance to the lowest polymorph of the same formula	3.0	meV/atom
# symmetry	P3m1, No. 156
# total magnetic moment	0.0000	μB/atom
# E	-16.44	eV/cell

# Tl2PbW PBE-GGA optimized geometry
data_Tl2PbW
_cell_length_a 7.7582
_cell_length_b 7.7582
_cell_length_c 7.7582
_cell_angle_alpha 157.49
_cell_angle_beta 142.58
_cell_angle_gamma 44.11
_space_group_name_H-M_alt 'P 1'
_space_group_IT_number 1
loop_
_space_group_symop_operation_xyz
'x,y,z'
loop_
_atom_site_label
_atom_site_type_symbol
_atom_site_fract_x
_atom_site_fract_y
_atom_site_fract_z
Tl1 Tl 0.0000 0.0000 0.0000
Tl2 Tl 0.6793 0.1793 0.5000
Pb1 Pb 0.3627 0.3627 0.0000
W1 W 0.1836 0.6836 0.5000
# formation energy from the elements	0.6722	eV/atom
# distance to the lowest polymorph of the same formula	0.0	meV/atom
# symmetry	Imm2, No. 44
# total magnetic moment	0.0862	μB/atom
# E	-18.71	eV/cell

# TlPb2W PBE-GGA optimized geometry
data_TlPb2W
_cell_length_a 5.8661
_cell_length_b 5.8661
_cell_length_c 5.8661
_cell_angle_alpha 135.00
_cell_angle_beta 135.00
_cell_angle_gamma 65.53
_space_group_name_H-M_alt 'P 1'
_space_group_IT_number 1
loop_
_space_group_symop_operation_xyz
'x,y,z'
loop_
_atom_site_label
_atom_site_type_symbol
_atom_site_fract_x
_atom_site_fract_y
_atom_site_fract_z
Tl1 Tl 0.0000 0.0000 0.0000
Pb1 Pb 0.5000 0.5000 0.0000
Pb2 Pb 0.7500 0.2500 0.5000
W1 W 0.2500 0.7500 0.5000
# formation energy from the elements	1.0722	eV/atom
# distance to the lowest polymorph of the same formula	440.8	meV/atom
# symmetry	I-4m2, No. 119
# total magnetic moment	0.3550	μB/atom
# E	-18.45	eV/cell

# TlPb2W PBE-GGA optimized geometry
data_TlPb2W
_cell_length_a 3.1485
_cell_length_b 3.1485
_cell_length_c 11.1597
_cell_angle_alpha 90.00
_cell_angle_beta 90.00
_cell_angle_gamma 106.44
_space_group_name_H-M_alt 'P 1'
_space_group_IT_number 1
loop_
_space_group_symop_operation_xyz
'x,y,z'
loop_
_atom_site_label
_atom_site_type_symbol
_atom_site_fract_x
_atom_site_fract_y
_atom_site_fract_z
Tl1 Tl 0.0000 0.0000 0.0000
Pb1 Pb 0.5000 0.5000 0.2965
Pb2 Pb 0.5000 0.5000 0.7035
W1 W 0.0000 0.0000 0.5000
# formation energy from the elements	0.6315	eV/atom
# distance to the lowest polymorph of the same formula	0.0	meV/atom
# symmetry	Cmmm, No. 65
# total magnetic moment	0.0000	μB/atom
# E	-20.21	eV/cell

# Tl2PbW PBE-GGA optimized geometry
data_Tl2PbW
_cell_length_a 11.3865
_cell_length_b 11.3865
_cell_length_c 11.3865
_cell_angle_alpha 16.03
_cell_angle_beta 16.03
_cell_angle_gamma 16.03
_space_group_name_H-M_alt 'P 1'
_space_group_IT_number 1
loop_
_space_group_symop_operation_xyz
'x,y,z'
loop_
_atom_site_label
_atom_site_type_symbol
_atom_site_fract_x
_atom_site_fract_y
_atom_site_fract_z
Tl1 Tl 0.2401 0.2401 0.2401
Tl2 Tl 0.7599 0.7599 0.7599
Pb1 Pb 0.0000 0.0000 0.0000
W1 W 0.5000 0.5000 0.5000
# formation energy from the elements	0.7518	eV/atom
# distance to the lowest polymorph of the same formula	79.7	meV/atom
# symmetry	R-3m, No. 166
# total magnetic moment	0.0000	μB/atom
# E	-18.39	eV/cell

# TlPb2W PBE-GGA optimized geometry
data_TlPb2W
_cell_length_a 4.6564
_cell_length_b 4.6564
_cell_length_c 4.7410
_cell_angle_alpha 90.00
_cell_angle_beta 90.00
_cell_angle_gamma 90.00
_space_group_name_H-M_alt 'P 1'
_space_group_IT_number 1
loop_
_space_group_symop_operation_xyz
'x,y,z'
loop_
_atom_site_label
_atom_site_type_symbol
_atom_site_fract_x
_atom_site_fract_y
_atom_site_fract_z
Tl1 Tl 0.0000 0.0000 0.0000
Pb1 Pb 0.0000 0.5000 0.5000
Pb2 Pb 0.5000 0.0000 0.5000
W1 W 0.5000 0.5000 0.0000
# formation energy from the elements	1.0961	eV/atom
# distance to the lowest polymorph of the same formula	464.6	meV/atom
# symmetry	P4/mmm, No. 123
# total magnetic moment	0.6620	μB/atom
# E	-18.35	eV/cell

# TlPb4W PBE-GGA optimized geometry
data_TlPb4W
_cell_length_a 6.3969
_cell_length_b 6.3969
_cell_length_c 6.3969
_cell_angle_alpha 60.00
_cell_angle_beta 60.00
_cell_angle_gamma 60.00
_space_group_name_H-M_alt 'P 1'
_space_group_IT_number 1
loop_
_space_group_symop_operation_xyz
'x,y,z'
loop_
_atom_site_label
_atom_site_type_symbol
_atom_site_fract_x
_atom_site_fract_y
_atom_site_fract_z
Tl1 Tl 0.0000 0.0000 0.0000
Pb1 Pb 0.3760 0.3760 0.3760
Pb2 Pb 0.3760 0.3760 0.8719
Pb3 Pb 0.3760 0.8719 0.3760
Pb4 Pb 0.8719 0.3760 0.3760
W1 W 0.7500 0.7500 0.7500
# formation energy from the elements	1.0060	eV/atom
# symmetry	F-43m, No. 216
# total magnetic moment	0.6071	μB/atom
# E	-24.12	eV/cell